Crystalline La2ZnHg at its relaxed geometry. Source: the Alexandria database, functional PBE-GGA.

The calculation puts the density of states at the Fermi level at 1.169 states/eV/atom. The calculation puts the formation energy at -81 kJ/mol of formula units.

It has space group P4mm (No. 99), with a = 4.048 Å, b = 4.048 Å, c = 7.185 Å, α = 90.00°, β = 90.00° and γ = 90.00°. The inequivalent atoms are La at (0.000, 0.000, 0.000), La at (0.500, 0.500, 0.335), Zn at (0.000, 0.000, 0.540) and Hg at (0.500, 0.500, 0.779).